w | First-principles (GGA-PBE) data for a relaxed NaAu2O4 crystal, as listed in Alexandria.

* mass density: 7.9 g/cm3
* density of states at the Fermi level: 6.47 states/eV per cell

abc: 6.267 6.267 6.806
angles: 117.41 117.41 90.00
Sites, in units of the cell vectors:
Na1 0.750 0.250 0.500
Na2 0.500 0.500 0.000
Au1 0.125 0.875 0.750
Au2 0.625 0.875 0.750
Au3 0.125 0.875 0.250
Au4 0.125 0.375 0.250
O1 0.931 0.864 0.413
O2 0.136 0.518 0.587
O3 0.452 0.069 0.587
O4 0.768 0.202 0.087
O5 0.798 0.681 0.913
O6 0.114 0.232 0.913
O7 0.482 0.548 0.413
O8 0.319 0.886 0.087

---

x | First-principles (GGA-PBE) data for a relaxed NaAu2O4 crystal, as listed in Alexandria.

* mass density: 7.1 g/cm3
* density of states at the Fermi level: 13.39 states/eV per cell

abc: 6.325 6.325 5.586
angles: 90.00 90.00 90.00
Sites, in units of the cell vectors:
Na1 0.500 0.000 0.000
Na2 0.000 0.500 0.500
Au1 0.000 0.773 0.000
Au2 0.000 0.227 0.000
Au3 0.227 0.000 0.500
Au4 0.773 0.000 0.500
O1 0.231 0.231 0.250
O2 0.231 0.231 0.750
O3 0.231 0.769 0.250
O4 0.231 0.769 0.750
O5 0.769 0.769 0.250
O6 0.769 0.231 0.750
O7 0.769 0.769 0.750
O8 0.769 0.231 0.250

---

The most stable of them is w.

---

w | First-principles (GGA-PBE) data for a relaxed Na5AuO3 crystal, as listed in Alexandria.

* mass density: 3.9 g/cm3

abc: 3.690 5.099 16.515
angles: 93.49 77.48 89.74
Sites, in units of the cell vectors:
Na1 0.258 0.836 0.744
Na2 0.415 0.955 0.086
Na3 0.596 0.808 0.403
Na4 0.089 0.605 0.912
Na5 0.927 0.666 0.574
Na6 0.073 0.334 0.426
Na7 0.911 0.395 0.088
Na8 0.585 0.045 0.914
Na9 0.404 0.192 0.597
Na10 0.742 0.164 0.256
Au1 0.246 0.662 0.252
Au2 0.754 0.338 0.748
O1 0.000 0.000 0.000
O2 0.842 0.028 0.661
O3 0.158 0.972 0.339
O4 0.666 0.648 0.834
O5 0.500 0.500 0.500
O6 0.334 0.352 0.166

---

x | First-principles (GGA-PBE) data for a relaxed Na5AuO3 crystal, as listed in Alexandria.

* mass density: 3.8 g/cm3

abc: 6.265 6.265 8.584
angles: 78.04 78.04 73.00
Sites, in units of the cell vectors:
Na1 0.971 0.346 0.298
Na2 0.304 0.696 0.000
Na3 0.777 0.777 0.054
Na4 0.424 0.424 0.365
Na5 0.576 0.576 0.635
Na6 0.223 0.223 0.946
Na7 0.346 0.971 0.298
Na8 0.696 0.304 0.000
Na9 0.029 0.654 0.702
Na10 0.654 0.029 0.702
Au1 0.163 0.163 0.608
Au2 0.837 0.837 0.392
O1 0.671 0.671 0.850
O2 0.656 0.656 0.326
O3 0.000 0.000 0.000
O4 0.000 0.000 0.500
O5 0.329 0.329 0.150
O6 0.344 0.344 0.674

---

The most stable of them is w.

---

w | First-principles (GGA-PBE) data for a relaxed Na3OsAu crystal, as listed in Alexandria.

* mass density: 4.3 g/cm3
* density of states at the Fermi level: 8.52 states/eV per cell

abc: 5.617 5.617 5.617
angles: 90.00 90.00 90.00
Sites, in units of the cell vectors:
Os1 0.000 0.000 0.000
Au1 0.500 0.500 0.500
Na1 0.000 0.500 0.000
Na2 0.000 0.000 0.500
Na3 0.500 0.000 0.000

---

x | First-principles (GGA-PBE) data for a relaxed Na3OsAu crystal, as listed in Alexandria.

* mass density: 4.9 g/cm3
* density of states at the Fermi level: 8.30 states/eV per cell

abc: 5.369 5.369 5.369
angles: 90.00 90.00 90.00
Sites, in units of the cell vectors:
Os1 0.500 0.500 0.500
Au1 0.000 0.000 0.000
Na1 0.000 0.500 0.000
Na2 0.000 0.000 0.500
Na3 0.500 0.000 0.000

---

The most stable of them is x.

---

w | First-principles (GGA-PBE) data for a relaxed Na2OsAu crystal, as listed in Alexandria.

* mass density: 9.3 g/cm3
* density of states at the Fermi level: 10.92 states/eV per cell

abc: 4.781 4.781 4.781
angles: 60.00 60.00 60.00
Sites, in units of the cell vectors:
Os1 0.000 0.000 0.000
Au1 0.500 0.500 0.500
Na1 0.250 0.250 0.250
Na2 0.750 0.750 0.750

---

x | First-principles (GGA-PBE) data for a relaxed Na2OsAu crystal, as listed in Alexandria.

* mass density: 8.3 g/cm3
* density of states at the Fermi level: 6.28 states/eV per cell

abc: 8.067 8.067 6.297
angles: 50.17 50.17 90.00
Sites, in units of the cell vectors:
Os1 0.500 0.500 0.000
Os2 0.250 0.750 0.500
Au1 0.000 0.000 0.000
Au2 0.750 0.250 0.500
Na1 0.638 0.125 0.250
Na2 0.112 0.625 0.250
Na3 0.375 0.362 0.750
Na4 0.875 0.888 0.750

---

The most stable of them is x.